Here is K3AuO2 after structural relaxation from the Open Quantum Materials Database. Energies are from PBE.

Geometry as POSCAR:
```
K3AuO2
1.0
6.294 0.000 0.000
0.000 6.294 0.000
0.000 0.000 6.898
K Au O
6 2 4
direct
0.000 0.000 0.000
0.000 0.500 0.250
0.000 0.500 0.750
0.500 0.000 0.250
0.500 0.000 0.750
0.500 0.500 0.500
0.000 0.000 0.500
0.500 0.500 0.000
0.226 0.226 0.500
0.274 0.726 0.000
0.726 0.274 0.000
0.774 0.774 0.500
```

Computed properties:
Raw total energy in eV/atom: -3.7857